Below is LaMgAlPt after structural relaxation, with properties calculated at the PBE-GGA level.

a b c (Å): 5.641 5.641 7.665
angles (deg): 90.00 90.00 133.73
Fractional coordinates of all 8 atoms:
Al1 0.159 0.841 0.053
Al2 0.841 0.159 0.553
La1 0.438 0.562 0.259
La2 0.562 0.438 0.759
Mg1 0.152 0.848 0.442
Mg2 0.848 0.152 0.942
Pt1 0.719 0.281 0.246
Pt2 0.281 0.719 0.746

Total magnetization (μB per cell): 0.01
Calculated volume (Å³ per atom): 22.024
SG: Cmc2_1
E above lowest polymorph (meV per atom): 0
DFT total energy (eV per cell): -39.2
Crystal system: orthorhombic